Compound: ZrNiRh
Source: Alexandria via LeMat-Bulk
Functional: PBE-GGA
Structure: relaxed

Unit cell a=3.2884 b=3.2884 c=8.7185 alpha=90.00 beta=90.00 gamma=90.00
Space group I4mm (No. 107)
Symmetry-distinct sites (fractional):
Zr 0.0000 0.0000 0.0000 (multiplicity 2)
Ni 0.0000 0.0000 0.3402 (multiplicity 2)
Rh 0.0000 0.0000 0.6703 (multiplicity 2)

## Properties
Distance to the lowest polymorph of the same formula, eV per formula unit: 0.26
Magnetic moment, μB per formula unit: 0.000

=====

Compound: Zr5NiRh2
Source: Alexandria via LeMat-Bulk
Functional: PBE-GGA
Structure: relaxed

Unit cell a=6.6093 b=10.8084 c=4.3597 alpha=90.00 beta=90.00 gamma=90.00
Space group Pbam (No. 55)
Symmetry-distinct sites (fractional):
Zr 0.0000 0.0000 0.0000 (multiplicity 2)
Zr 0.1553 0.2878 0.0000 (multiplicity 4)
Zr 0.1722 0.5960 0.5000 (multiplicity 4)
Ni 0.0000 0.5000 0.0000 (multiplicity 2)
Rh 0.1095 0.8624 0.5000 (multiplicity 4)

## Properties
Magnetic moment, μB per formula unit: 0.000

=====

Compound: Ni2Ru
Source: Alexandria via LeMat-Bulk
Functional: PBE-GGA
Structure: relaxed

Unit cell a=2.5999 b=2.5999 c=10.6347 alpha=90.00 beta=90.00 gamma=90.00
Space group I4/mmm (No. 139)
Symmetry-distinct sites (fractional):
Ni 0.0000 0.0000 0.1686 (multiplicity 4)
Ru 0.0000 0.0000 0.5000 (multiplicity 2)

## Properties
Magnetic moment, μB per formula unit: 0.162

=====

Compound: NiRu
Source: Alexandria via LeMat-Bulk
Functional: PBE-GGA
Structure: relaxed

Unit cell a=4.0479 b=4.0479 c=4.8233 alpha=90.00 beta=90.00 gamma=120.00
Space group P6_3/mmc (No. 194)
Symmetry-distinct sites (fractional):
Ni 0.3333 0.6667 0.2500 (multiplicity 2)
Ru 0.3333 0.6667 0.7500 (multiplicity 2)

## Properties
Magnetic moment, μB per formula unit: 1.610

=====

Compound: Ni2Ru
Source: Alexandria via LeMat-Bulk
Functional: PBE-GGA
Structure: relaxed

Unit cell a=2.5706 b=2.5706 c=22.7660 alpha=90.00 beta=90.00 gamma=90.00
Space group I4_1/amd (No. 141, origin choice 2)
Symmetry-distinct sites (fractional):
Ni 0.0000 0.2500 0.2956 (multiplicity 8)
Ru 0.0000 0.2500 0.8750 (multiplicity 4)

## Properties
Magnetic moment, μB per formula unit: 0.012

=====

Compound: Ni4Ru
Source: Alexandria via LeMat-Bulk
Functional: PBE-GGA
Structure: relaxed

Unit cell a=2.5574 b=3.5808 c=12.5736 alpha=90.00 beta=90.00 gamma=90.00
Space group Immm (No. 71)
Symmetry-distinct sites (fractional):
Ni 0.0000 0.0000 0.1019 (multiplicity 4)
Ni 0.0000 0.0000 0.2993 (multiplicity 4)
Ru 0.0000 0.0000 0.5000 (multiplicity 2)

## Properties
Distance to the lowest polymorph of the same formula, eV per formula unit: 0.08
Magnetic moment, μB per formula unit: 0.002

=====

no.,E_form (meV/atom),density (g/cm3),total DFT energy (no corrections) (eV/atom)
1,-461,8.9,-7.688
2,-409,7.7,-8.312
3,113,10.1,-6.833
4,1230,7.8,-6.299
5,248,9.6,-6.698
6,79,9.7,-6.401